(1)
{"formula": "Sr2Tc", "functional": "PBE-GGA", "state": "relaxed", "lattice_angstrom": [[8.089, -3.602, 0.000], [8.089, 3.602, 0.000], [0.000, 0.000, 4.207]], "species": ["Sr", "Sr", "Sr", "Sr", "Tc", "Tc"], "frac_coords": [[0.113, 0.623, 0.750], [0.377, 0.887, 0.750], [0.623, 0.113, 0.250], [0.887, 0.377, 0.250], [0.080, 0.920, 0.250], [0.920, 0.080, 0.750]], "de_polymorph_mev_per_atom": 103, "m_tot_mub_per_cell": 0.002, "final_energy_ry_per_atom": -0.308}

***

(2)
{"formula": "SrTc", "functional": "PBE-GGA", "state": "relaxed", "lattice_angstrom": [[0.000, 3.467, 3.467], [3.467, 0.000, 3.467], [3.467, 3.467, 0.000]], "species": ["Sr", "Tc"], "frac_coords": [[0.000, 0.000, 0.000], [0.750, 0.750, 0.750]], "de_polymorph_mev_per_atom": 2127, "m_tot_mub_per_cell": 3.000, "final_energy_ry_per_atom": -0.268}

***

(3)
{"formula": "SrTc", "functional": "PBE-GGA", "state": "relaxed", "lattice_angstrom": [[4.170, 0.000, 0.000], [-2.085, 3.612, 0.000], [0.000, 0.000, 17.531]], "species": ["Sr", "Sr", "Sr", "Sr", "Tc", "Tc", "Tc", "Tc"], "frac_coords": [[0.333, 0.667, 0.115], [0.333, 0.667, 0.385], [0.667, 0.333, 0.615], [0.667, 0.333, 0.885], [0.000, 0.000, 0.250], [0.000, 0.000, 0.750], [0.333, 0.667, 0.750], [0.667, 0.333, 0.250]], "de_polymorph_mev_per_atom": 24, "m_tot_mub_per_cell": 0.001, "final_energy_ry_per_atom": -0.423}

***

(4)
{"formula": "Sr2Tc", "functional": "PBE-GGA", "state": "relaxed", "lattice_angstrom": [[0.000, 4.648, 4.648], [4.648, 0.000, 4.648], [4.648, 4.648, 0.000]], "species": ["Sr", "Sr", "Sr", "Sr", "Tc", "Tc"], "frac_coords": [[0.000, 0.000, 0.000], [0.000, 0.000, 0.500], [0.000, 0.500, 0.000], [0.500, 0.000, 0.000], [0.375, 0.375, 0.375], [0.625, 0.625, 0.625]], "de_polymorph_mev_per_atom": 1379, "m_tot_mub_per_cell": 4.749, "final_energy_ry_per_atom": -0.215}

***

(5)
{"formula": "SrTc", "functional": "PBE-GGA", "state": "relaxed", "lattice_angstrom": [[2.919, 0.000, 0.000], [0.000, 2.919, 0.000], [0.000, 0.000, 5.172]], "species": ["Sr", "Tc"], "frac_coords": [[0.000, 0.000, 0.000], [0.500, 0.500, 0.500]], "de_polymorph_mev_per_atom": 928, "m_tot_mub_per_cell": 0.000, "final_energy_ry_per_atom": -0.356}

***

(6)
{"formula": "SrTc3", "functional": "PBE-GGA", "state": "relaxed", "lattice_angstrom": [[5.261, 0.000, 0.000], [0.000, 5.261, 0.000], [0.000, 0.000, 5.261]], "species": ["Sr", "Sr", "Tc", "Tc", "Tc", "Tc", "Tc", "Tc"], "frac_coords": [[0.000, 0.000, 0.000], [0.500, 0.500, 0.500], [0.000, 0.250, 0.500], [0.000, 0.750, 0.500], [0.250, 0.500, 0.000], [0.500, 0.000, 0.250], [0.500, 0.000, 0.750], [0.750, 0.500, 0.000]], "de_polymorph_mev_per_atom": 639, "m_tot_mub_per_cell": 0.000, "final_energy_ry_per_atom": -0.512}